No. 1
Density functional theory data (PBE) for crystalline LiCe2Ga6Fe at its relaxed geometry.

Cell: 6.4776 6.4806 6.4793 Å, 60.01 59.97 90.01°
With the nearest neighbours (Å) after each atom.
Atoms (fractional coordinates):
Li: 0.5000 0.5000 0.0000  6 Ga 2.25
Ce: 0.2502 0.7500 0.4999  12 Ga 3.24
Ce: 0.7498 0.2500 0.5001  12 Ga 3.24
Ga: 0.2540 0.7461 0.0000  1 Li 2.25, 1 Fe 2.33
Ga: 0.7460 0.7461 0.0001  1 Li 2.25, 1 Fe 2.33
Ga: 0.2539 0.2538 0.4923  1 Li 2.25, 1 Fe 2.33
Ga: 0.7460 0.2539 0.0000  1 Li 2.25, 1 Fe 2.33
Ga: 0.2540 0.2539 0.9999  1 Li 2.25, 1 Fe 2.33
Ga: 0.7461 0.7462 0.5077  1 Li 2.25, 1 Fe 2.33
Fe: 0.0000 0.0000 0.0000  6 Ga 2.33

Its energy is -42.8 eV per cell. Its formation energy is -243 meV per atom. The mass density comes out at 6.576 g cm⁻³. Its calculated volume is 192 Å³ per cell. The calculation puts the total moment at 3.33 μB per formula unit.

No. 2
Density functional theory data (PBE) for crystalline CeLuGaFe at its relaxed geometry.

Cell: 4.9122 4.9122 4.9122 Å, 60.00 60.00 60.00°
With the nearest neighbours (Å) after each atom.
Atoms (fractional coordinates):
Lu: 0.5000 0.5000 0.5000  4 Fe 3.01, 4 Ga 3.01
Ga: 0.2500 0.2500 0.2500  4 Lu 3.01, 4 Ce 3.01
Ce: 0.0000 0.0000 0.0000  4 Ga 3.01, 4 Fe 3.01
Fe: 0.7500 0.7500 0.7500  4 Ce 3.01, 4 Lu 3.01

Its energy is -22.7 eV per cell. Its formation energy is -178 meV per atom. The mass density comes out at 8.730 g cm⁻³. Its calculated volume is 84 Å³ per cell. The calculation puts the total moment at 1.08 μB per formula unit.

No. 3
Density functional theory data (PBE) for crystalline Ce2Ga3FeNi12 at its relaxed geometry.

Cell: 8.8830 8.8830 8.8830 Å, 40.58 40.58 40.58°
With the nearest neighbours (Å) after each atom.
Atoms (fractional coordinates):
Ce: 0.6560 0.6560 0.6560  6 Ni 2.75-2.93
Ce: 0.3440 0.3440 0.3440  6 Ni 2.75-2.93
Ga: 0.5000 0.0000 0.0000  6 Ni 2.35-2.45
Ga: 0.0000 0.5000 0.0000  6 Ni 2.35-2.45
Ga: 0.0000 0.0000 0.5000  6 Ni 2.35-2.45
Fe: 0.0000 0.0000 0.0000  6 Ni 2.26
Ni: 0.4203 0.4203 0.8098  2 Ga 2.35, 4 Ni 2.40-2.42
Ni: 0.9204 0.9204 0.3597  1 Fe 2.26, 2 Ni 2.42, 1 Ga 2.45
Ni: 0.3597 0.9204 0.9204  1 Fe 2.26, 2 Ni 2.42, 1 Ga 2.45
Ni: 0.8098 0.4203 0.4203  2 Ga 2.35, 4 Ni 2.40-2.42
Ni: 0.9204 0.3597 0.9204  1 Fe 2.26, 2 Ni 2.42, 1 Ga 2.45
Ni: 0.4203 0.8098 0.4203  2 Ga 2.35, 4 Ni 2.40-2.42
Ni: 0.5797 0.5797 0.1902  2 Ga 2.35, 4 Ni 2.40-2.42
Ni: 0.0796 0.0796 0.6403  1 Fe 2.26, 2 Ni 2.42, 1 Ga 2.45
Ni: 0.6403 0.0796 0.0796  1 Fe 2.26, 2 Ni 2.42, 1 Ga 2.45
Ni: 0.1902 0.5797 0.5797  2 Ga 2.35, 4 Ni 2.40-2.42
Ni: 0.0796 0.6403 0.0796  1 Fe 2.26, 2 Ni 2.42, 1 Ga 2.45
Ni: 0.5797 0.1902 0.5797  2 Ga 2.35, 4 Ni 2.40-2.42

Its energy is -98.6 eV per cell. Its formation energy is 11 meV per atom. The mass density comes out at 7.755 g cm⁻³. Its calculated volume is 268 Å³ per cell. The calculation puts the total moment at 3.58 μB per formula unit.

No. 4
Density functional theory data (PBE) for crystalline CePuGaFe at its relaxed geometry.

Cell: 4.7691 4.7691 4.7691 Å, 60.00 60.00 60.00°
With the nearest neighbours (Å) after each atom.
Atoms (fractional coordinates):
Fe: 0.2500 0.2500 0.2500  4 Pu 2.92, 4 Ga 2.92
Ga: 0.0000 0.0000 0.0000  4 Ce 2.92, 4 Fe 2.92
Ce: 0.7500 0.7500 0.7500  4 Pu 2.92, 4 Ga 2.92
Pu: 0.5000 0.5000 0.5000  4 Ce 2.92, 4 Fe 2.92

Its energy is -32.5 eV per cell. Its formation energy is -194 meV per atom. The mass density comes out at 11.035 g cm⁻³. Its calculated volume is 77 Å³ per cell. The calculation puts the total moment at 5.00 μB per formula unit.

- The lowest calculated volume belongs to which entry?
  CePuGaFe